Here is a relaxed structure of LiAcCo2F8 from Alexandria via LeMat-Bulk. Energies are from GGA+U.

Cell and atoms, written as POSCAR:
```
LiAcCo2F8
1.0
5.936 0.000 0.000
-2.968 5.141 0.000
0.000 0.000 6.641
Li Ac Co F
1 1 2 8
direct
0.000 0.000 0.000
0.000 0.000 0.500
0.333 0.667 0.743
0.667 0.333 0.257
0.149 0.298 0.796
0.149 0.851 0.796
0.298 0.149 0.204
0.333 0.667 0.453
0.667 0.333 0.547
0.702 0.851 0.796
0.851 0.149 0.204
0.851 0.702 0.204
```

Values from the calculation:
energy: -64.566 eV for the cell shown
space group: P-3m1
total moment: 6.00 μB/f.u.